The following is a PBE calculation of crystalline TlSi2Ni at its relaxed geometry, from Alexandria via LeMat-Bulk.

Calculated values
Its formation energy without anion corrections is 232 meV per atom.

```
data_TlSi2Ni
_chemical_formula_sum 'Tl2 Si4 Ni2'
_cell_length_a 8.268
_cell_length_b 8.268
_cell_length_c 8.268
_cell_angle_alpha 148.64
_cell_angle_beta 148.64
_cell_angle_gamma 44.95
_symmetry_space_group_name_H-M 'P 1'
_symmetry_Int_Tables_number 1
loop_
_symmetry_equiv_pos_as_xyz
'x,y,z'
loop_
_atom_site_label
_atom_site_type_symbol
_atom_site_fract_x
_atom_site_fract_y
_atom_site_fract_z
_atom_site_occupancy
Tl1 Tl 0.000 0.000 0.000 1
Tl2 Tl 0.750 0.250 0.500 1
Si1 Si 0.249 0.625 0.124 1
Si2 Si 0.375 0.499 0.624 1
Si3 Si 0.501 0.125 0.876 1
Si4 Si 0.875 0.751 0.376 1
Ni1 Ni 0.250 0.750 0.500 1
Ni2 Ni 0.500 0.500 0.000 1
```